Entry 1:
{
  "formula": "PuAgN2",
  "functional": "PBE",
  "state": "relaxed",
  "cell": [[3.5322, 0.0000, 0.0000], [-1.7661, 3.0590, 0.0000], [0.0000, 0.0000, 18.0623]],
  "species": ["Pu", "Pu", "Pu", "Ag", "Ag", "Ag", "N", "N", "N", "N", "N", "N"],
  "fractional_positions": [[0.0000, 0.0000, 0.0000], [0.3333, 0.6667, 0.6667], [0.6667, 0.3333, 0.3333], [0.0000, 0.0000, 0.5000], [0.3333, 0.6667, 0.1667], [0.6667, 0.3333, 0.8333], [0.0000, 0.0000, 0.3844], [0.0000, 0.0000, 0.6156], [0.3333, 0.6667, 0.0511], [0.3333, 0.6667, 0.2822], [0.6667, 0.3333, 0.7178], [0.6667, 0.3333, 0.9489]],
  "dos_ef_per_ev_atom": 1.55,
  "crystal_system": "trigonal",
  "raw_formation_energy_ev_per_atom": -0.48,
  "energy_ev_per_atom": -8.941
}

***

Entry 2:
{
  "formula": "Pu2AgN",
  "functional": "PBE",
  "state": "relaxed",
  "cell": [[3.3675, 0.0000, 0.0000], [-1.6838, 2.9164, 0.0000], [0.0000, 0.0000, 24.6000]],
  "species": ["Pu", "Pu", "Pu", "Pu", "Pu", "Pu", "Ag", "Ag", "Ag", "N", "N", "N"],
  "fractional_positions": [[0.0000, 0.0000, 0.2253], [0.0000, 0.0000, 0.7747], [0.3333, 0.6667, 0.4413], [0.3333, 0.6667, 0.8920], [0.6667, 0.3333, 0.1080], [0.6667, 0.3333, 0.5587], [0.0000, 0.0000, 0.0000], [0.3333, 0.6667, 0.6667], [0.6667, 0.3333, 0.3333], [0.0000, 0.0000, 0.5000], [0.3333, 0.6667, 0.1667], [0.6667, 0.3333, 0.8333]],
  "dos_ef_per_ev_atom": 3.48,
  "crystal_system": "trigonal",
  "de_polymorph_mev_per_atom": 10,
  "raw_formation_energy_ev_per_atom": -0.49,
  "energy_ev_per_atom": -10.448
}

***

Entry 3:
{
  "formula": "PuAgN",
  "functional": "PBE",
  "state": "relaxed",
  "cell": [[6.5806, 0.0000, 0.0000], [0.0000, 3.7829, 0.0000], [-2.2113, 0.0000, 9.5071]],
  "species": ["Pu", "Pu", "Pu", "Pu", "Ag", "Ag", "Ag", "Ag", "N", "N", "N", "N"],
  "fractional_positions": [[0.2147, 0.0000, 0.1441], [0.2853, 0.5000, 0.8559], [0.7147, 0.5000, 0.1441], [0.7853, 0.0000, 0.8559], [0.1360, 0.5000, 0.4100], [0.3640, 0.0000, 0.5900], [0.6360, 0.0000, 0.4100], [0.8640, 0.5000, 0.5900], [0.1347, 0.0000, 0.9057], [0.3653, 0.5000, 0.0943], [0.6347, 0.5000, 0.9057], [0.8653, 0.0000, 0.0943]],
  "dos_ef_per_ev_atom": 2.13,
  "crystal_system": "monoclinic",
  "raw_formation_energy_ev_per_atom": -0.59,
  "energy_ev_per_atom": -9.094
}

***

Entry 4:
{
  "formula": "Pu2AgN",
  "functional": "PBE",
  "state": "relaxed",
  "cell": [[3.3758, 0.0000, 0.0000], [-1.6879, 2.9236, 0.0000], [0.0000, 0.0000, 24.3985]],
  "species": ["Pu", "Pu", "Pu", "Pu", "Pu", "Pu", "Ag", "Ag", "Ag", "N", "N", "N"],
  "fractional_positions": [[0.0000, 0.0000, 0.0000], [0.0000, 0.0000, 0.2152], [0.3333, 0.6667, 0.6667], [0.3333, 0.6667, 0.8818], [0.6667, 0.3333, 0.3333], [0.6667, 0.3333, 0.5485], [0.0000, 0.0000, 0.4414], [0.3333, 0.6667, 0.1081], [0.6667, 0.3333, 0.7747], [0.0000, 0.0000, 0.6080], [0.3333, 0.6667, 0.2747], [0.6667, 0.3333, 0.9414]],
  "dos_ef_per_ev_atom": 3.58,
  "crystal_system": "trigonal",
  "de_polymorph_mev_per_atom": 0,
  "raw_formation_energy_ev_per_atom": -0.50,
  "energy_ev_per_atom": -10.458
}

***

Entry 5:
{
  "formula": "Pu2AgS2N2",
  "functional": "PBE",
  "state": "relaxed",
  "cell": [[3.8044, 0.0000, 0.0000], [-1.9022, 3.2947, 0.0000], [0.0000, 0.0000, 10.8935]],
  "species": ["Pu", "Pu", "Ag", "S", "S", "N", "N"],
  "fractional_positions": [[0.3333, 0.6667, 0.1301], [0.6667, 0.3333, 0.8699], [0.0000, 0.0000, 0.5000], [0.0000, 0.0000, 0.2831], [0.0000, 0.0000, 0.7169], [0.3333, 0.6667, 0.9260], [0.6667, 0.3333, 0.0740]],
  "dos_ef_per_ev_atom": 1.41,
  "crystal_system": "trigonal",
  "raw_formation_energy_ev_per_atom": -1.02,
  "energy_ev_per_atom": -9.080
}

***

Entry 6:
{
  "formula": "PuAgSbN",
  "functional": "PBE",
  "state": "relaxed",
  "cell": [[3.2763, 0.0000, 0.0000], [0.0000, 3.2763, 0.0000], [0.0000, 0.0000, 14.8245]],
  "species": ["Pu", "Pu", "Ag", "Ag", "Sb", "Sb", "N", "N"],
  "fractional_positions": [[0.0000, 0.0000, 0.0000], [0.5000, 0.5000, 0.5000], [0.0000, 0.0000, 0.6820], [0.5000, 0.5000, 0.1820], [0.0000, 0.0000, 0.3146], [0.5000, 0.5000, 0.8146], [0.0000, 0.0000, 0.5314], [0.5000, 0.5000, 0.0314]],
  "dos_ef_per_ev_atom": 1.59,
  "crystal_system": "tetragonal",
  "raw_formation_energy_ev_per_atom": -0.39,
  "energy_ev_per_atom": -7.797
}

***

Entry 7:
{
  "formula": "Pu2AgSe2N2",
  "functional": "PBE",
  "state": "relaxed",
  "cell": [[3.8169, 0.0000, 0.0000], [-1.9085, 3.3056, 0.0000], [0.0000, 0.0000, 11.5526]],
  "species": ["Pu", "Pu", "Ag", "Se", "Se", "N", "N"],
  "fractional_positions": [[0.3333, 0.6667, 0.1214], [0.6667, 0.3333, 0.8786], [0.0000, 0.0000, 0.5000], [0.0000, 0.0000, 0.2844], [0.0000, 0.0000, 0.7156], [0.3333, 0.6667, 0.9291], [0.6667, 0.3333, 0.0709]],
  "dos_ef_per_ev_atom": 1.60,
  "crystal_system": "trigonal",
  "raw_formation_energy_ev_per_atom": -0.95,
  "energy_ev_per_atom": -8.824
}

***

Entry 8:
{
  "formula": "RbAgN2",
  "functional": "PBE",
  "state": "relaxed",
  "cell": [[6.4576, 0.0000, 0.0000], [0.0000, 6.4576, 0.0000], [0.0000, 0.0000, 7.4062]],
  "species": ["Rb", "Rb", "Rb", "Rb", "Ag", "Ag", "Ag", "Ag", "N", "N", "N", "N", "N", "N", "N", "N"],
  "fractional_positions": [[0.0000, 0.0000, 0.0000], [0.0000, 0.5000, 0.2500], [0.5000, 0.0000, 0.7500], [0.5000, 0.5000, 0.5000], [0.0000, 0.0000, 0.5000], [0.0000, 0.5000, 0.7500], [0.5000, 0.0000, 0.2500], [0.5000, 0.5000, 0.0000], [0.1297, 0.7500, 0.6250], [0.2500, 0.1297, 0.3750], [0.2500, 0.3703, 0.8750], [0.3703, 0.7500, 0.1250], [0.6297, 0.2500, 0.1250], [0.7500, 0.6297, 0.8750], [0.7500, 0.8703, 0.3750], [0.8703, 0.2500, 0.6250]],
  "dos_ef_per_ev_atom": 0.22,
  "crystal_system": "tetragonal",
  "de_polymorph_mev_per_atom": 1401,
  "raw_formation_energy_ev_per_atom": 1.45,
  "energy_ev_per_atom": -3.669
}

***

Entry 9:
{
  "formula": "RbAgN2",
  "functional": "PBE",
  "state": "relaxed",
  "cell": [[6.3383, 0.0000, 0.0000], [0.0000, 6.3383, 0.0000], [0.0000, 0.0000, 6.3383]],
  "species": ["Rb", "Rb", "Rb", "Rb", "Ag", "Ag", "Ag", "Ag", "N", "N", "N", "N", "N", "N", "N", "N"],
  "fractional_positions": [[0.0000, 0.0000, 0.0000], [0.0000, 0.5000, 0.5000], [0.5000, 0.0000, 0.5000], [0.5000, 0.5000, 0.0000], [0.0000, 0.0000, 0.5000], [0.0000, 0.5000, 0.0000], [0.5000, 0.0000, 0.0000], [0.5000, 0.5000, 0.5000], [0.2500, 0.2500, 0.2500], [0.2500, 0.2500, 0.7500], [0.2500, 0.7500, 0.2500], [0.2500, 0.7500, 0.7500], [0.7500, 0.2500, 0.2500], [0.7500, 0.2500, 0.7500], [0.7500, 0.7500, 0.2500], [0.7500, 0.7500, 0.7500]],
  "dos_ef_per_ev_atom": 1.23,
  "crystal_system": "cubic",
  "de_polymorph_mev_per_atom": 2070,
  "raw_formation_energy_ev_per_atom": 2.12,
  "energy_ev_per_atom": -3.000
}

***

Entry 10:
{
  "formula": "RbAgN2",
  "functional": "PBE",
  "state": "relaxed",
  "cell": [[3.4293, 0.0000, 0.0000], [-1.7146, 2.9699, 0.0000], [0.0000, 0.0000, 21.3391]],
  "species": ["Rb", "Rb", "Rb", "Ag", "Ag", "Ag", "N", "N", "N", "N", "N", "N"],
  "fractional_positions": [[0.0000, 0.0000, 0.0000], [0.3333, 0.6667, 0.6667], [0.6667, 0.3333, 0.3333], [0.0000, 0.0000, 0.5000], [0.3333, 0.6667, 0.1667], [0.6667, 0.3333, 0.8333], [0.0000, 0.0000, 0.1232], [0.0000, 0.0000, 0.8768], [0.3333, 0.6667, 0.5434], [0.3333, 0.6667, 0.7899], [0.6667, 0.3333, 0.2101], [0.6667, 0.3333, 0.4566]],
  "dos_ef_per_ev_atom": 0.09,
  "crystal_system": "trigonal",
  "de_polymorph_mev_per_atom": 1508,
  "raw_formation_energy_ev_per_atom": 1.56,
  "energy_ev_per_atom": -3.562
}

***

Entry 11:
{
  "formula": "RbAgN2",
  "functional": "PBE",
  "state": "relaxed",
  "cell": [[5.4213, 0.0000, 0.0000], [0.0158, 5.4628, 0.0000], [2.7040, 0.0014, 8.3925]],
  "species": ["Rb", "Rb", "Ag", "Ag", "N", "N", "N", "N"],
  "fractional_positions": [[0.1214, 0.2500, 0.2568], [0.8786, 0.7500, 0.7432], [0.5000, 0.0000, 0.5000], [0.5000, 0.5000, 0.5000], [0.1386, 0.7502, 0.0133], [0.3488, 0.7498, 0.0129], [0.6512, 0.2502, 0.9871], [0.8614, 0.2498, 0.9867]],
  "dos_ef_per_ev_atom": 0.51,
  "crystal_system": "triclinic",
  "de_polymorph_mev_per_atom": 0,
  "raw_formation_energy_ev_per_atom": 0.05,
  "energy_ev_per_atom": -5.070
}

***

Entry 12:
{
  "formula": "RbAgN2",
  "functional": "PBE",
  "state": "relaxed",
  "cell": [[4.5541, 0.0000, 0.0000], [-2.2771, 3.9440, 0.0000], [0.0000, 0.0000, 20.0879]],
  "species": ["Rb", "Rb", "Rb", "Ag", "Ag", "Ag", "N", "N", "N", "N", "N", "N"],
  "fractional_positions": [[0.0000, 0.0000, 0.0000], [0.3333, 0.6667, 0.6667], [0.6667, 0.3333, 0.3333], [0.0000, 0.0000, 0.5000], [0.3333, 0.6667, 0.1667], [0.6667, 0.3333, 0.8333], [0.0000, 0.0000, 0.4083], [0.0000, 0.0000, 0.5917], [0.3333, 0.6667, 0.0749], [0.3333, 0.6667, 0.2584], [0.6667, 0.3333, 0.7416], [0.6667, 0.3333, 0.9251]],
  "dos_ef_per_ev_atom": 0.00,
  "crystal_system": "trigonal",
  "de_polymorph_mev_per_atom": 1750,
  "raw_formation_energy_ev_per_atom": 1.80,
  "energy_ev_per_atom": -3.320
}